Material: VTeRuO6
Method: DFT, PBE with a Hubbard U
State: optimized geometry

Unit cell a=5.1755 b=5.1755 c=8.6902 alpha=90.00 beta=90.00 gamma=120.00
With the nearest neighbours (Å) after each atom.
Positions (direct):
O  0.0033  0.6636  0.8713  1 Te 2.00, 1 V 2.02, 1 Ru 2.08
O  0.6603  0.9967  0.8713  1 Te 2.00, 1 V 2.02, 1 Ru 2.08
O  0.0033  0.3397  0.6287  1 Te 2.00, 1 V 2.02, 1 Ru 2.08
O  0.6636  0.6603  0.1287  1 Te 2.00, 1 V 2.02, 1 Ru 2.08
O  0.6603  0.6636  0.6287  1 Te 2.00, 1 V 2.02, 1 Ru 2.08
O  0.3397  0.0033  0.1287  1 Te 2.00, 1 V 2.02, 1 Ru 2.08
O  0.6636  0.0033  0.3713  1 Te 2.00, 1 V 2.02, 1 Ru 2.08
O  0.3364  0.9967  0.6287  1 Te 2.00, 1 V 2.02, 1 Ru 2.08
O  0.3364  0.3397  0.8713  1 Te 2.00, 1 V 2.02, 1 Ru 2.08
O  0.9967  0.6603  0.3713  1 Te 2.00, 1 V 2.02, 1 Ru 2.08
O  0.3397  0.3364  0.3713  1 Te 2.00, 1 V 2.02, 1 Ru 2.08
O  0.9967  0.3364  0.1287  1 Te 2.00, 1 V 2.02, 1 Ru 2.08
Te  0.6667  0.3333  0.2500  6 O 2.00
Te  0.3333  0.6667  0.7500  6 O 2.00
V  0.6667  0.3333  0.7500  6 O 2.02
V  0.3333  0.6667  0.2500  6 O 2.02
Ru  0.0000  0.0000  0.0000  6 O 2.08
Ru  0.0000  0.0000  0.5000  6 O 2.08

Properties
Final energy (eV per cell): -119.8
Density of states at the Fermi level (states/eV per cell): 6.09